(1)
PaZn4Si2 | PBE | optimized geometry

a = 7.6735 Å, b = 7.6735 Å, c = 3.9645 Å
α = 90.00°, β = 90.00°, γ = 150.18°
Element x y z (fractional)
Pa 0.0000 0.0000 0.0000
Zn 0.1840 0.8160 0.5000
Zn 0.3127 0.6873 0.0000
Zn 0.6873 0.3127 0.0000
Zn 0.8160 0.1840 0.5000
Si 0.4225 0.5775 0.5000
Si 0.5775 0.4225 0.5000

* N(E_F): 0.7491 states/eV per atom
* formation energy without anion corrections: -0.18 eV per atom


(2)
La5Si2Br2 | PBE | optimized geometry

a = 8.8608 Å, b = 8.8608 Å, c = 8.1084 Å
α = 90.00°, β = 90.00°, γ = 54.52°
Element x y z (fractional)
La 0.0000 0.0000 0.0000
La 0.0370 0.7099 0.6608
La 0.2099 0.5370 0.1608
La 0.2901 0.9630 0.6608
La 0.4630 0.7901 0.1608
La 0.5000 0.5000 0.5000
La 0.5370 0.2099 0.8392
La 0.7099 0.0370 0.3392
La 0.7901 0.4630 0.8392
La 0.9630 0.2901 0.3392
Si 0.1367 0.8633 0.3635
Si 0.3633 0.6367 0.8635
Si 0.6367 0.3633 0.1365
Si 0.8633 0.1367 0.6365
Br 0.1983 0.1983 0.0000
Br 0.3017 0.3017 0.5000
Br 0.6983 0.6983 0.5000
Br 0.8017 0.8017 0.0000

* N(E_F): 1.0654 states/eV per atom
* formation energy without anion corrections: -0.92 eV per atom


no.,magnetic moment (μB per formula unit)
1,0.00
2,0.00